1.
A relaxed CaAs2W crystal. Source: Alexandria via LeMat-Bulk, functional PBE.

Lattice parameters (Å, degrees): 4.7247 4.7247 3.3479 90.00 90.00 96.07
With the nearest neighbours (Å) after each atom.
Atoms (fractional coordinates):
1 W 0.0000 0.5000 0.5000  8 As 2.90, 2 Ca 3.16
2 As 0.0000 0.0000 0.0000  4 Ca 2.90, 4 W 2.90, 2 As 3.16
3 Ca 0.5000 0.0000 0.5000  8 As 2.90, 2 W 3.16
4 As 0.5000 0.5000 0.0000  4 W 2.90, 4 Ca 2.90, 2 As 3.16

Output
The calculation puts the energy relative to the lowest polymorph listed for this composition at 0.515 eV/atom. The space group is No. 65.

---

2.
A relaxed CaAs2W crystal. Source: Alexandria via LeMat-Bulk, functional PBE.

Lattice parameters (Å, degrees): 6.3608 4.8487 3.3654 80.13 74.47 124.26
With the nearest neighbours (Å) after each atom.
Atoms (fractional coordinates):
1 Ca 0.0000 0.5000 0.5000  4 As 2.70
2 As 0.5000 0.0000 0.5000  2 W 2.70, 2 Ca 2.70
3 As 0.0000 0.0000 0.0000  2 Ca 2.70, 2 W 2.70
4 W 0.5000 0.5000 0.0000  4 As 2.70

Output
The calculation puts the energy relative to the lowest polymorph listed for this composition at 0.475 eV/atom. The space group is No. 12.

---

3.
A relaxed CaAs2W crystal. Source: Alexandria via LeMat-Bulk, functional PBE.

Lattice parameters (Å, degrees): 5.6222 5.6222 5.6222 146.61 114.57 75.48
With the nearest neighbours (Å) after each atom.
Atoms (fractional coordinates):
1 As 0.4643 0.4643 0.0000  2 W 2.50
2 As 0.0357 0.0357 0.0000  2 W 2.50
3 W 0.2500 0.7500 0.5000  4 As 2.50
4 Ca 0.7500 0.2500 0.5000  4 As 3.01, 2 Ca 3.23

Output
The calculation puts the energy relative to the lowest polymorph listed for this composition at 0.278 eV/atom. The space group is No. 71.

---

4.
A relaxed CaAs3W crystal. Source: Alexandria via LeMat-Bulk, functional PBE.

Lattice parameters (Å, degrees): 5.0523 5.0523 5.0523 90.00 90.00 90.00
With the nearest neighbours (Å) after each atom.
Atoms (fractional coordinates):
1 As 0.0000 0.5000 0.0000  2 Ca 2.53
2 W 0.5000 0.5000 0.5000  12 As 3.57
3 As 0.0000 0.0000 0.5000  2 Ca 2.53
4 Ca 0.0000 0.0000 0.0000  6 As 2.53
5 As 0.5000 0.0000 0.0000  2 Ca 2.53

Output
The calculation puts the energy relative to the lowest polymorph listed for this composition at 1.948 eV/atom. The space group is No. 221.

---

5.
A relaxed CaAsW2 crystal. Source: Alexandria via LeMat-Bulk, functional PBE.

Lattice parameters (Å, degrees): 4.0754 4.0754 10.2685 78.55 78.55 90.00
With the nearest neighbours (Å) after each atom.
Atoms (fractional coordinates):
1 W 0.6953 0.1250 0.2500  2 W 2.51, 2 As 2.77
2 Ca 0.5000 0.5000 0.0000  4 As 2.88, 4 W 2.97
3 W 0.8750 0.9453 0.7500  2 W 2.51, 2 As 2.77
4 W 0.0547 0.6250 0.2500  2 W 2.51, 2 As 2.77
5 As 0.7500 0.2500 0.5000  4 W 2.77, 4 Ca 2.88
6 As 0.0000 0.0000 0.0000  4 W 2.77, 4 Ca 2.88
7 W 0.3750 0.3047 0.7500  2 W 2.51, 2 As 2.77
8 Ca 0.2500 0.7500 0.5000  4 As 2.88, 4 W 2.97

Output
The space group is No. 122.

---

6.
A relaxed CaAs2W crystal. Source: Alexandria via LeMat-Bulk, functional PBE.

Lattice parameters (Å, degrees): 6.2555 6.2555 7.4219 65.08 65.08 90.00
With the nearest neighbours (Å) after each atom.
Atoms (fractional coordinates):
1 Ca 0.5000 0.5000 0.0000  4 As 2.95
2 As 0.8750 0.9452 0.7500  2 W 2.44
3 As 0.3750 0.3048 0.7500  2 W 2.44
4 Ca 0.2500 0.7500 0.5000  4 As 2.95
5 W 0.0000 0.0000 0.0000  4 As 2.44
6 W 0.7500 0.2500 0.5000  4 As 2.44
7 As 0.0548 0.6250 0.2500  2 W 2.44
8 As 0.6952 0.1250 0.2500  2 W 2.44

Output
The calculation puts the energy relative to the lowest polymorph listed for this composition at 0.353 eV/atom. The space group is No. 122.

---

7.
A relaxed CaAsW2 crystal. Source: Alexandria via LeMat-Bulk, functional PBE.

Lattice parameters (Å, degrees): 5.7044 5.7044 5.7044 140.32 140.32 57.37
With the nearest neighbours (Å) after each atom.
Atoms (fractional coordinates):
1 W 0.0000 0.0000 0.0000  4 W 2.74
2 Ca 0.7500 0.2500 0.5000  4 As 2.74
3 W 0.5000 0.5000 0.0000  4 W 2.74
4 As 0.2500 0.7500 0.5000  4 Ca 2.74

Output
The space group is No. 139.

---

8.
A relaxed CaAs2W crystal. Source: Alexandria via LeMat-Bulk, functional PBE.

Lattice parameters (Å, degrees): 3.6456 4.1103 5.3148 90.00 90.00 90.00
With the nearest neighbours (Å) after each atom.
Atoms (fractional coordinates):
1 As 0.0000 0.0000 0.8749  2 Ca 2.66, 4 W 2.75
2 As 0.5000 0.5000 0.3751  2 W 2.66, 4 Ca 2.75
3 W 0.5000 0.5000 0.8751  6 As 2.66-2.75
4 Ca 0.0000 0.0000 0.3749  6 As 2.66-2.75

Output
The calculation puts the energy relative to the lowest polymorph listed for this composition at 0.349 eV/atom. The space group is No. 47.

---

9.
A relaxed CaAs2W crystal. Source: Alexandria via LeMat-Bulk, functional PBE.

Lattice parameters (Å, degrees): 2.8824 2.8824 10.3463 90.00 90.00 90.00
With the nearest neighbours (Å) after each atom.
Atoms (fractional coordinates):
1 W 0.5000 0.5000 0.7597  4 As 2.79, 4 W 2.88
2 As 0.0000 0.0000 0.9443  4 W 2.79, 4 As 2.88
3 As 0.5000 0.5000 0.2863  4 As 2.88, 4 Ca 3.08
4 Ca 0.0000 0.0000 0.5096  4 Ca 2.88, 4 As 3.08

Output
The calculation puts the energy relative to the lowest polymorph listed for this composition at 0.658 eV/atom. The space group is No. 99.

---

10.
A relaxed CaAsW2 crystal. Source: Alexandria via LeMat-Bulk, functional PBE.

Lattice parameters (Å, degrees): 9.2964 9.2964 9.2964 19.01 19.01 19.01
With the nearest neighbours (Å) after each atom.
Atoms (fractional coordinates):
1 W 0.5134 0.5134 0.5134  3 As 2.61
2 Ca 0.7500 0.7500 0.7500  6 Ca 3.07, 6 W 3.19
3 W 0.9866 0.9866 0.9866  3 As 2.61
4 As 0.2500 0.2500 0.2500  6 W 2.61

Output
The space group is No. 166.

---

11.
A relaxed CaAs2W crystal. Source: Alexandria via LeMat-Bulk, functional PBE.

Lattice parameters (Å, degrees): 3.4590 3.4590 6.8595 90.00 90.00 90.00
With the nearest neighbours (Å) after each atom.
Atoms (fractional coordinates):
1 As 0.5000 0.5000 0.2225  1 W 2.61
2 Ca 0.0000 0.0000 0.4878  5 As 3.05-3.16
3 W 0.5000 0.5000 0.8415  5 As 2.55-2.61
4 As 0.0000 0.0000 0.9482  4 W 2.55

Output
The calculation puts the energy relative to the lowest polymorph listed for this composition at 0.371 eV/atom. The space group is No. 99.

---

12.
A relaxed CaAs2W crystal. Source: Alexandria via LeMat-Bulk, functional PBE.

Lattice parameters (Å, degrees): 4.6869 4.6869 4.6869 119.93 119.93 90.12
With the nearest neighbours (Å) after each atom.
Atoms (fractional coordinates):
1 As 0.5000 0.5000 0.0000  4 W 2.87, 4 Ca 2.87
2 W 0.7500 0.2500 0.5000  8 As 2.87
3 Ca 0.2500 0.7500 0.5000  8 As 2.87
4 As 0.0000 0.0000 0.0000  4 Ca 2.87, 4 W 2.87

Output
The calculation puts the energy relative to the lowest polymorph listed for this composition at 0.336 eV/atom. The space group is No. 139.

---

13.
A relaxed CaAsW2 crystal. Source: Alexandria via LeMat-Bulk, functional PBE.

Lattice parameters (Å, degrees): 5.5649 5.5649 2.7855 90.00 90.00 120.65
With the nearest neighbours (Å) after each atom.
Atoms (fractional coordinates):
1 W 0.5000 0.5000 0.0000  4 W 2.76-2.79
2 Ca 0.0000 0.5000 0.5000  2 As 2.76, 2 Ca 2.79
3 As 0.5000 0.0000 0.5000  2 Ca 2.76, 2 As 2.79
4 W 0.0000 0.0000 0.0000  4 W 2.76-2.79

Output
The space group is No. 65.

---

14.
A relaxed CaAsW2 crystal. Source: Alexandria via LeMat-Bulk, functional PBE.

Lattice parameters (Å, degrees): 5.3786 5.3786 5.3786 142.61 125.93 67.58
With the nearest neighbours (Å) after each atom.
Atoms (fractional coordinates):
1 As 0.5210 0.5210 0.0000  6 W 2.73-3.02, 2 Ca 2.98
2 W 0.9726 0.9726 0.0000  2 W 2.58
3 Ca 0.2491 0.7491 0.5000  4 As 2.98-3.18, 8 W 2.99-3.16
4 W 0.7573 0.2573 0.5000  2 W 2.58, 2 As 2.73

Output
The space group is No. 44.

---

15.
A relaxed CaYAs2 crystal. Source: Alexandria via LeMat-Bulk, functional PBE.

Lattice parameters (Å, degrees): 5.1050 5.1050 5.1050 60.00 60.00 60.00
With the nearest neighbours (Å) after each atom.
Atoms (fractional coordinates):
1 As 0.2500 0.2500 0.2500  4 Ca 3.13, 4 Y 3.13
2 Ca 0.0000 0.0000 0.0000  8 As 3.13
3 Y 0.5000 0.5000 0.5000  8 As 3.13
4 As 0.7500 0.7500 0.7500  4 Y 3.13, 4 Ca 3.13

Output
The calculation puts the energy relative to the lowest polymorph listed for this composition at 0.235 eV/atom. The space group is No. 225.

---

Density
In order: 8.352 8.211 7.111 5.777 9.793 5.323 10.680 7.793 7.220 10.756 7.562 8.516 10.800 10.637 4.922
Unit: Mg/m³
Energy of formation
In order: 0.159 0.118 -0.078 1.914 0.678 -0.003 0.627 -0.007 0.302 0.690 0.015 -0.020 0.842 0.593 -0.967
Unit: eV/atom